No. 1
YMg3Se | PBE-GGA | relaxed

a = 5.965 Å, b = 5.965 Å, c = 5.965 Å
α = 90.00°, β = 90.00°, γ = 90.00°
Positions (direct):
Y 0.000 0.000 0.000
Mg 0.000 0.000 0.500
Mg 0.000 0.500 0.000
Mg 0.500 0.000 0.000
Se 0.500 0.500 0.500

Computed properties:
Total DFT energy (no corrections), eV/atom: -1.93
Uncorrected formation energy, kJ per mole of atoms: 97.9
Relative energy among the computed polymorphs, eV per atom: 1.017
Mass density, kg/m³: 1884

=====

No. 2
Y2MgSe4 | PBE-GGA | relaxed

a = 8.201 Å, b = 7.679 Å, c = 12.049 Å
α = 90.00°, β = 90.00°, γ = 90.00°
Positions (direct):
Y 0.059 0.250 0.016
Y 0.063 0.750 0.314
Y 0.437 0.250 0.814
Y 0.441 0.750 0.516
Y 0.559 0.250 0.484
Y 0.563 0.750 0.186
Y 0.937 0.250 0.686
Y 0.941 0.750 0.984
Mg 0.176 0.250 0.403
Mg 0.324 0.750 0.903
Mg 0.676 0.250 0.097
Mg 0.824 0.750 0.597
Se 0.116 0.750 0.550
Se 0.126 0.000 0.840
Se 0.126 0.500 0.840
Se 0.236 0.750 0.110
Se 0.264 0.250 0.610
Se 0.374 0.000 0.340
Se 0.374 0.500 0.340
Se 0.384 0.250 0.050
Se 0.616 0.750 0.950
Se 0.626 0.000 0.660
Se 0.626 0.500 0.660
Se 0.736 0.750 0.390
Se 0.764 0.250 0.890
Se 0.874 0.000 0.160
Se 0.874 0.500 0.160
Se 0.884 0.250 0.450

Computed properties:
Total DFT energy (no corrections), eV/atom: -5.55
Uncorrected formation energy, kJ per mole of atoms: -143.5
Relative energy among the computed polymorphs, eV per atom: 0.223
Mass density, kg/m³: 4534